Entry 1:
Below is ZrScAl2 after structural relaxation, with properties calculated at the PBE level.

Summary:
Formation energy from the elements = -0.439 eV per atom
N(E_F) = 2.70 states/eV/cell
Energy = -24.1 eV/f.u.
Calculated density = 4.07 g/cm3

a b c (Å): 3.0588 3.0588 8.2920
angles (deg): 90.00 90.00 90.00
With the nearest neighbours (Å) after each atom.
Sites, in units of the cell vectors:
Zr (0.0000, 0.0000, 0.0000)  8 Al 2.99, 4 Zr 3.06
Sc (0.0000, 0.0000, 0.5000)  8 Al 3.00, 4 Sc 3.06
Al (0.5000, 0.5000, 0.2490)  4 Zr 2.99, 4 Sc 3.00, 4 Al 3.06
Al (0.5000, 0.5000, 0.7510)  4 Zr 2.99, 4 Sc 3.00, 4 Al 3.06



Entry 2:
Below is Tl5Sn3I12 after structural relaxation, with properties calculated at the PBE level.

Summary:
Formation energy without anion corrections = -367 meV/atom
N(E_F) = 46.99 states/eV/cell
Energy = -49.8 eV/f.u.
Calculated density = 5.09 g/cm3

a b c (Å): 17.0026 17.0026 17.0026
angles (deg): 109.47 109.47 109.47
With the nearest neighbours (Å) after each atom.
Sites, in units of the cell vectors:
Tl (0.0000, 0.0000, 0.0000)  6 I 3.41
Tl (0.0000, 0.0000, 0.5000)  6 I 3.41
Tl (0.0000, 0.5000, 0.0000)  6 I 3.41
Tl (0.0000, 0.5000, 0.5000)  6 I 3.41
Tl (0.1250, 0.7500, 0.8750)  4 I 3.28
Tl (0.1250, 0.8750, 0.2500)  4 I 3.28
Tl (0.2500, 0.1250, 0.8750)  4 I 3.28
Tl (0.2500, 0.6250, 0.3750)  4 I 3.28
Tl (0.3750, 0.2500, 0.6250)  4 I 3.28
Tl (0.3750, 0.6250, 0.7500)  4 I 3.28
Tl (0.5000, 0.0000, 0.0000)  6 I 3.41
Tl (0.5000, 0.0000, 0.5000)  6 I 3.41
Tl (0.5000, 0.5000, 0.0000)  6 I 3.41
Tl (0.5000, 0.5000, 0.5000)  6 I 3.41
Tl (0.6250, 0.3750, 0.2500)  4 I 3.28
Tl (0.6250, 0.7500, 0.3750)  4 I 3.28
Tl (0.7500, 0.3750, 0.6250)  4 I 3.28
Tl (0.7500, 0.8750, 0.1250)  4 I 3.28
Tl (0.8750, 0.1250, 0.7500)  4 I 3.28
Tl (0.8750, 0.2500, 0.1250)  4 I 3.28
Sn (0.1250, 0.2500, 0.3750)  4 I 3.30
Sn (0.1250, 0.3750, 0.7500)  4 I 3.30
Sn (0.2500, 0.3750, 0.1250)  4 I 3.30
Sn (0.2500, 0.8750, 0.6250)  4 I 3.30
Sn (0.3750, 0.1250, 0.2500)  4 I 3.30
Sn (0.3750, 0.7500, 0.1250)  4 I 3.30
Sn (0.6250, 0.2500, 0.8750)  4 I 3.30
Sn (0.6250, 0.8750, 0.7500)  4 I 3.30
Sn (0.7500, 0.1250, 0.3750)  4 I 3.30
Sn (0.7500, 0.6250, 0.8750)  4 I 3.30
Sn (0.8750, 0.6250, 0.2500)  4 I 3.30
Sn (0.8750, 0.7500, 0.6250)  4 I 3.30
I (0.0629, 0.2347, 0.1271)  2 Tl 3.28-3.41, 1 Sn 3.30
I (0.0629, 0.3282, 0.9357)  2 Tl 3.28-3.41, 1 Sn 3.30
I (0.0643, 0.6271, 0.3925)  2 Tl 3.28-3.41, 1 Sn 3.30
I (0.0643, 0.9371, 0.6718)  2 Tl 3.28-3.41, 1 Sn 3.30
I (0.1075, 0.7347, 0.6718)  2 Tl 3.28-3.41, 1 Sn 3.30
I (0.1075, 0.8729, 0.4357)  2 Tl 3.28-3.41, 1 Sn 3.30
I (0.1271, 0.0629, 0.2347)  2 Tl 3.28-3.41, 1 Sn 3.30
I (0.1271, 0.5643, 0.8925)  2 Tl 3.28-3.41, 1 Sn 3.30
I (0.1718, 0.2347, 0.6075)  2 Tl 3.28-3.41, 1 Sn 3.30
I (0.1718, 0.4371, 0.5643)  2 Tl 3.28-3.41, 1 Sn 3.30
I (0.2347, 0.1271, 0.0629)  2 Tl 3.28-3.41, 1 Sn 3.30
I (0.2347, 0.6075, 0.1718)  2 Tl 3.28-3.41, 1 Sn 3.30
I (0.2653, 0.3282, 0.8925)  2 Tl 3.28-3.41, 1 Sn 3.30
I (0.2653, 0.4371, 0.3729)  2 Tl 3.28-3.41, 1 Sn 3.30
I (0.3282, 0.8925, 0.2653)  2 Tl 3.28-3.41, 1 Sn 3.30
I (0.3282, 0.9357, 0.0629)  2 Tl 3.28-3.41, 1 Sn 3.30
I (0.3729, 0.2653, 0.4371)  2 Tl 3.28-3.41, 1 Sn 3.30
I (0.3729, 0.6075, 0.9357)  2 Tl 3.28-3.41, 1 Sn 3.30
I (0.3925, 0.0643, 0.6271)  2 Tl 3.28-3.41, 1 Sn 3.30
I (0.3925, 0.8282, 0.7653)  2 Tl 3.28-3.41, 1 Sn 3.30
I (0.4357, 0.1075, 0.8729)  2 Tl 3.28-3.41, 1 Sn 3.30
I (0.4357, 0.8282, 0.5629)  2 Tl 3.28-3.41, 1 Sn 3.30
I (0.4371, 0.3729, 0.2653)  2 Tl 3.28-3.41, 1 Sn 3.30
I (0.4371, 0.5643, 0.1718)  2 Tl 3.28-3.41, 1 Sn 3.30
I (0.5629, 0.4357, 0.8282)  2 Tl 3.28-3.41, 1 Sn 3.30
I (0.5629, 0.6271, 0.7347)  2 Tl 3.28-3.41, 1 Sn 3.30
I (0.5643, 0.1718, 0.4371)  2 Tl 3.28-3.41, 1 Sn 3.30
I (0.5643, 0.8925, 0.1271)  2 Tl 3.28-3.41, 1 Sn 3.30
I (0.6075, 0.1718, 0.2347)  2 Tl 3.28-3.41, 1 Sn 3.30
I (0.6075, 0.9357, 0.3729)  2 Tl 3.28-3.41, 1 Sn 3.30
I (0.6271, 0.3925, 0.0643)  2 Tl 3.28-3.41, 1 Sn 3.30
I (0.6271, 0.7347, 0.5629)  2 Tl 3.28-3.41, 1 Sn 3.30
I (0.6718, 0.0643, 0.9371)  2 Tl 3.28-3.41, 1 Sn 3.30
I (0.6718, 0.1075, 0.7347)  2 Tl 3.28-3.41, 1 Sn 3.30
I (0.7347, 0.5629, 0.6271)  2 Tl 3.28-3.41, 1 Sn 3.30
I (0.7347, 0.6718, 0.1075)  2 Tl 3.28-3.41, 1 Sn 3.30
I (0.7653, 0.3925, 0.8282)  2 Tl 3.28-3.41, 1 Sn 3.30
I (0.7653, 0.8729, 0.9371)  2 Tl 3.28-3.41, 1 Sn 3.30
I (0.8282, 0.5629, 0.4357)  2 Tl 3.28-3.41, 1 Sn 3.30
I (0.8282, 0.7653, 0.3925)  2 Tl 3.28-3.41, 1 Sn 3.30
I (0.8729, 0.4357, 0.1075)  2 Tl 3.28-3.41, 1 Sn 3.30
I (0.8729, 0.9371, 0.7653)  2 Tl 3.28-3.41, 1 Sn 3.30
I (0.8925, 0.1271, 0.5643)  2 Tl 3.28-3.41, 1 Sn 3.30
I (0.8925, 0.2653, 0.3282)  2 Tl 3.28-3.41, 1 Sn 3.30
I (0.9357, 0.0629, 0.3282)  2 Tl 3.28-3.41, 1 Sn 3.30
I (0.9357, 0.3729, 0.6075)  2 Tl 3.28-3.41, 1 Sn 3.30
I (0.9371, 0.6718, 0.0643)  2 Tl 3.28-3.41, 1 Sn 3.30
I (0.9371, 0.7653, 0.8729)  2 Tl 3.28-3.41, 1 Sn 3.30



Entry 3:
Below is Sc3Ga2BRu3 after structural relaxation, with properties calculated at the PBE level.

Summary:
Formation energy from the elements = -0.652 eV per atom
N(E_F) = 4.20 states/eV/cell
Energy = -65.4 eV/f.u.
Calculated density = 7.11 g/cm3

a b c (Å): 7.0020 7.0020 3.2365
angles (deg): 90.00 90.00 120.00
With the nearest neighbours (Å) after each atom.
Sites, in units of the cell vectors:
Sc (0.0000, 0.3647, 0.0000)  1 B 2.55, 4 Ga 2.76, 4 Ru 2.77
Sc (0.3647, 0.0000, 0.0000)  1 B 2.55, 4 Ga 2.76, 4 Ru 2.77
Sc (0.6353, 0.6353, 0.0000)  1 B 2.55, 4 Ga 2.76, 4 Ru 2.77
Ga (0.3333, 0.6667, 0.5000)  3 Ru 2.73, 6 Sc 2.76
Ga (0.6667, 0.3333, 0.5000)  3 Ru 2.73, 6 Sc 2.76
B (0.0000, 0.0000, 0.0000)  6 Ru 2.32, 3 Sc 2.55
Ru (0.0000, 0.7624, 0.5000)  2 B 2.32
Ru (0.2376, 0.2376, 0.5000)  2 B 2.32
Ru (0.7624, 0.0000, 0.5000)  2 B 2.32



Entry 4:
Below is Rb4Zr2B after structural relaxation, with properties calculated at the PBE level.

Summary:
Formation energy from the elements = 1.501 eV per atom
N(E_F) = 8.12 states/eV/cell
Energy = -17.1 eV/f.u.
Calculated density = 2.11 g/cm3

a b c (Å): 9.7260 9.7260 9.7260
angles (deg): 137.06 137.06 62.35
With the nearest neighbours (Å) after each atom.
Sites, in units of the cell vectors:
Rb (0.0000, 0.5000, 0.5000)  2 B 3.56, 4 Zr 3.75
Rb (0.1877, 0.1877, 0.0000)  1 B 3.12
Rb (0.5000, 0.0000, 0.5000)  2 B 3.56, 4 Zr 3.75
Rb (0.8123, 0.8123, 0.0000)  1 B 3.12
Zr (0.4290, 0.4290, 0.0000)  1 Zr 2.36
Zr (0.5710, 0.5710, 0.0000)  1 Zr 2.36
B (0.0000, 0.0000, 0.0000)  2 Rb 3.12



Entry 5:
Below is HoCuBr6 after structural relaxation, with properties calculated at the PBE level.

Summary:
Formation energy without anion corrections = -916 meV/atom
Energy = -26.0 eV/f.u.
Calculated density = 4.20 g/cm3

a b c (Å): 5.8092 7.1716 7.6693
angles (deg): 66.77 73.10 87.43
With the nearest neighbours (Å) after each atom.
Sites, in units of the cell vectors:
Ho (0.0000, 0.0000, 0.0000)  6 Br 2.70-2.86
Cu (0.5000, 0.5000, 0.0000)  4 Br 2.36-2.41
Br (0.0076, 0.8033, 0.3788)  1 Ho 2.70
Br (0.2907, 0.3749, 0.8337)  1 Cu 2.41
Br (0.4099, 0.8321, 0.8182)  1 Cu 2.36
Br (0.5901, 0.1679, 0.1818)  1 Cu 2.36
Br (0.7093, 0.6251, 0.1663)  1 Cu 2.41
Br (0.9924, 0.1967, 0.6212)  1 Ho 2.70



Entry 6:
Below is OsPt4Rh after structural relaxation, with properties calculated at the PBE level.

Summary:
Formation energy from the elements = 0.585 eV per atom
N(E_F) = 11.90 states/eV/cell
Energy = -39.2 eV/f.u.
Calculated density = 18.12 g/cm3

a b c (Å): 5.1816 5.1816 5.1816
angles (deg): 60.00 60.00 60.00
With the nearest neighbours (Å) after each atom.
Sites, in units of the cell vectors:
Os (0.0000, 0.0000, 0.0000)  12 Pt 3.04, 4 Rh 3.17
Pt (0.3750, 0.3750, 0.3750)  6 Pt 2.59
Pt (0.3750, 0.3750, 0.8749)  6 Pt 2.59
Pt (0.3750, 0.8749, 0.3750)  6 Pt 2.59
Pt (0.8749, 0.3750, 0.3750)  6 Pt 2.59
Rh (0.7500, 0.7500, 0.7500)  12 Pt 3.04, 4 Os 3.17